# 1
Computed, not measured: crystalline InPtAu2 at its relaxed geometry at the PBE level of DFT.

Lattice parameters (Å, degrees): 9.0505 9.0505 9.0505 19.87 19.87 19.87
With the nearest neighbours (Å) after each atom.
Fractional positions:
In 0.0000 0.0000 0.0000  6 Au 2.89, 6 In 3.12
Pt 0.5000 0.5000 0.5000  6 Au 2.83, 6 Pt 3.12
Au 0.2485 0.2485 0.2485  3 Pt 2.83, 3 In 2.89, 6 Au 3.12
Au 0.7515 0.7515 0.7515  3 Pt 2.83, 3 In 2.89, 6 Au 3.12

Values from the calculation:
ΔH_f (0 K)	0.09	eV/atom


# 2
Computed, not measured: crystalline KGeCl2 at its relaxed geometry at the PBE level of DFT.

Lattice parameters (Å, degrees): 9.1624 9.1624 9.1624 142.15 142.15 54.61
With the nearest neighbours (Å) after each atom.
Fractional positions:
K 0.0000 0.0000 0.0000  4 Cl 3.12
K 0.7500 0.2500 0.5000  4 Cl 3.12
Ge 0.2500 0.7500 0.5000  4 Cl 2.76
Ge 0.5000 0.5000 0.0000  4 Cl 2.76
Cl 0.1855 0.6250 0.0605  2 Ge 2.76
Cl 0.3750 0.4355 0.5605  2 Ge 2.76
Cl 0.5645 0.1250 0.9395  2 Ge 2.76
Cl 0.8750 0.8145 0.4395  2 Ge 2.76

Values from the calculation:
energy relative to the lowest polymorph listed for this composition	105	meV/atom


# 3
Computed, not measured: crystalline PrMn6Ge6 at its relaxed geometry at the PBE level of DFT.

Lattice parameters (Å, degrees): 6.6354 6.6354 6.6354 133.78 103.37 94.41
With the nearest neighbours (Å) after each atom.
Fractional positions:
Pr 0.0000 0.0000 0.0000  8 Ge 2.86-3.05
Mn 0.0000 0.0000 0.5000  6 Ge 2.53-2.72, 4 Mn 2.60
Mn 0.0000 0.5000 0.0000  6 Ge 2.53-2.72, 4 Mn 2.60
Mn 0.2522 0.5000 0.7522  6 Ge 2.50-2.72, 4 Mn 2.60
Mn 0.5000 0.0000 0.0000  6 Ge 2.53-2.72, 4 Mn 2.60
Mn 0.5000 0.5000 0.5000  6 Ge 2.53-2.72, 4 Mn 2.60
Mn 0.7478 0.5000 0.2478  6 Ge 2.50-2.72, 4 Mn 2.60
Ge 0.1725 0.6725 0.5000  6 Mn 2.53-2.59
Ge 0.3388 0.3388 0.0000  6 Mn 2.50-2.56
Ge 0.3478 0.0000 0.3478  1 Ge 2.50, 6 Mn 2.72
Ge 0.6522 0.0000 0.6522  1 Ge 2.50, 6 Mn 2.72
Ge 0.6612 0.6612 0.0000  6 Mn 2.50-2.56
Ge 0.8275 0.3275 0.5000  6 Mn 2.53-2.59

Values from the calculation:
ΔH_f (0 K)	-0.27	eV/atom


no.,total moment (Bohr magnetons per cell),density (kg/m3)
1,0.000,15601
2,2.000,2109
3,11.664,7791